Density functional theory data (GGA+U) for a geometry-optimized Nb2CoO6 structure.

a = 5.194 Å, b = 5.194 Å, c = 4.405 Å
α = 90.00°, β = 90.00°, γ = 120.00°
Atoms (fractional coordinates):
Nb 0.333 0.667 0.000
Nb 0.667 0.333 0.000
Co 0.000 0.000 0.500
O 0.000 0.346 0.758
O 0.000 0.654 0.242
O 0.346 0.000 0.758
O 0.346 0.346 0.242
O 0.654 0.000 0.242
O 0.654 0.654 0.758

Results
ΔE to the lowest computed polymorph, meV per atom: 102.5

***

Density functional theory data (GGA+U) for a geometry-optimized Nb2CoO4 structure.

a = 6.154 Å, b = 6.154 Å, c = 6.154 Å
α = 60.00°, β = 60.00°, γ = 60.00°
Atoms (fractional coordinates):
Nb 0.000 0.000 0.000
Nb 0.000 0.000 0.500
Nb 0.000 0.500 0.000
Nb 0.500 0.000 0.000
Co 0.375 0.375 0.375
Co 0.625 0.625 0.625
O 0.244 0.752 0.752
O 0.248 0.248 0.248
O 0.248 0.248 0.756
O 0.248 0.756 0.248
O 0.752 0.244 0.752
O 0.752 0.752 0.244
O 0.752 0.752 0.752
O 0.756 0.248 0.248

***

Density functional theory data (GGA+U) for a geometry-optimized Nb2CoO6 structure.

a = 14.164 Å, b = 5.730 Å, c = 5.048 Å
α = 90.00°, β = 90.00°, γ = 90.00°
Atoms (fractional coordinates):
Nb 0.159 0.184 0.243
Nb 0.159 0.816 0.743
Nb 0.341 0.316 0.743
Nb 0.341 0.684 0.243
Nb 0.659 0.316 0.757
Nb 0.659 0.684 0.257
Nb 0.841 0.184 0.257
Nb 0.841 0.816 0.757
Co 0.000 0.342 0.750
Co 0.000 0.658 0.250
Co 0.500 0.158 0.250
Co 0.500 0.842 0.750
O 0.078 0.386 0.411
O 0.078 0.614 0.911
O 0.094 0.106 0.917
O 0.094 0.894 0.417
O 0.244 0.120 0.571
O 0.244 0.880 0.071
O 0.256 0.380 0.071
O 0.256 0.620 0.571
O 0.406 0.394 0.417
O 0.406 0.606 0.917
O 0.422 0.114 0.911
O 0.422 0.886 0.411
O 0.578 0.114 0.589
O 0.578 0.886 0.089
O 0.594 0.394 0.083
O 0.594 0.606 0.583
O 0.744 0.380 0.429
O 0.744 0.620 0.929
O 0.756 0.120 0.929
O 0.756 0.880 0.429
O 0.906 0.106 0.583
O 0.906 0.894 0.083
O 0.922 0.386 0.089
O 0.922 0.614 0.589

Results
ΔE to the lowest computed polymorph, meV per atom: 0.0

***

Density functional theory data (GGA+U) for a geometry-optimized NbCoPO structure.

a = 3.314 Å, b = 5.791 Å, c = 5.923 Å
α = 90.00°, β = 90.00°, γ = 90.00°
Atoms (fractional coordinates):
Nb 0.000 0.009 0.000
Nb 0.000 0.991 0.500
Co 0.500 0.397 0.899
Co 0.500 0.603 0.399
P 0.500 0.230 0.267
P 0.500 0.770 0.767
O 0.000 0.256 0.757
O 0.000 0.744 0.257

Results
ΔE to the lowest computed polymorph, meV per atom: 142.8

***

Density functional theory data (GGA+U) for a geometry-optimized NbCoPO structure.

a = 4.083 Å, b = 5.314 Å, c = 5.135 Å
α = 90.00°, β = 90.00°, γ = 90.00°
Atoms (fractional coordinates):
Nb 0.000 0.186 0.000
Nb 0.000 0.814 0.500
Co 0.500 0.153 0.630
Co 0.500 0.847 0.130
P 0.000 0.303 0.495
P 0.000 0.697 0.995
O 0.500 0.223 0.017
O 0.500 0.777 0.517

Results
ΔE to the lowest computed polymorph, meV per atom: 97.9

***

Density functional theory data (GGA+U) for a geometry-optimized NbCoPO structure.

a = 4.002 Å, b = 4.002 Å, c = 8.487 Å
α = 90.00°, β = 90.00°, γ = 90.00°
Atoms (fractional coordinates):
Nb 0.250 0.750 0.000
Nb 0.750 0.250 0.000
Co 0.250 0.250 0.454
Co 0.750 0.750 0.546
P 0.250 0.250 0.177
P 0.750 0.750 0.823
O 0.250 0.750 0.500
O 0.750 0.250 0.500

Results
ΔE to the lowest computed polymorph, meV per atom: 540.3

***

Density functional theory data (GGA+U) for a geometry-optimized NbCoPO structure.

a = 3.507 Å, b = 3.507 Å, c = 7.454 Å
α = 90.00°, β = 90.00°, γ = 90.00°
Atoms (fractional coordinates):
Nb 0.250 0.250 0.178
Nb 0.750 0.750 0.822
Co 0.250 0.750 0.500
Co 0.750 0.250 0.500
P 0.250 0.250 0.672
P 0.750 0.750 0.328
O 0.250 0.750 0.000
O 0.750 0.250 0.000

Results
ΔE to the lowest computed polymorph, meV per atom: 0.0

***

Density functional theory data (GGA+U) for a geometry-optimized Nb4Co3PbO12 structure.

a = 6.623 Å, b = 6.623 Å, c = 6.623 Å
α = 109.47°, β = 109.47°, γ = 109.47°
Atoms (fractional coordinates):
Nb 0.000 0.000 0.500
Nb 0.000 0.500 0.000
Nb 0.500 0.000 0.000
Nb 0.500 0.500 0.500
Co 0.000 0.500 0.500
Co 0.500 0.000 0.500
Co 0.500 0.500 0.000
Pb 0.000 0.000 0.000
O 0.115 0.301 0.814
O 0.186 0.487 0.301
O 0.186 0.885 0.699
O 0.301 0.186 0.487
O 0.301 0.814 0.115
O 0.487 0.301 0.186
O 0.513 0.699 0.814
O 0.699 0.186 0.885
O 0.699 0.814 0.513
O 0.814 0.115 0.301
O 0.814 0.513 0.699
O 0.885 0.699 0.186

***

Number 1: total energy -74.16 eV/cell. Number 2: total energy -115.20 eV/cell. Number 3: total energy -300.33 eV/cell. Number 4: total energy -57.83 eV/cell. Number 5: total energy -58.19 eV/cell. Number 6: total energy -54.65 eV/cell. Number 7: total energy -58.97 eV/cell. Number 8: total energy -154.65 eV/cell.